[1]
# NaLa2ZnTc | Alexandria via LeMat-Bulk | PBE | relaxed
# Formation energy ... 0.065 eV/atom
data_NaLa2ZnTc
_cell_length_a 5.3981
_cell_length_b 5.3981
_cell_length_c 5.1950
_cell_angle_alpha 90.00
_cell_angle_beta 90.00
_cell_angle_gamma 90.00
_symmetry_space_group_name_H-M 'P 4/m m m'
_symmetry_Int_Tables_number 123
_symmetry_space_group_name_Hall '-P 4 2'
loop_
_atom_site_label
_atom_site_type_symbol
_atom_site_fract_x
_atom_site_fract_y
_atom_site_fract_z
Na1 Na 0.0000 0.0000 0.0000
La1 La 0.0000 0.5000 0.5000
Zn1 Zn 0.5000 0.5000 0.0000
Tc1 Tc 0.5000 0.5000 0.5000


[2]
# NaLa3Te4 | Alexandria via LeMat-Bulk | PBE | relaxed
# E_form (uncorrected) ... -1.51 eV per atom
# E above lowest polymorph ... 0 meV per atom
data_NaLa3Te4
_cell_length_a 6.4727
_cell_length_b 6.4727
_cell_length_c 12.9892
_cell_angle_alpha 90.00
_cell_angle_beta 90.00
_cell_angle_gamma 90.00
_symmetry_space_group_name_H-M 'I 4/m m m'
_symmetry_Int_Tables_number 139
_symmetry_space_group_name_Hall '-I 4 2'
loop_
_atom_site_label
_atom_site_type_symbol
_atom_site_fract_x
_atom_site_fract_y
_atom_site_fract_z
Na1 Na 0.0000 0.0000 0.0000
La1 La 0.0000 0.0000 0.5000
La2 La 0.0000 0.5000 0.2500
Te1 Te 0.0000 0.0000 0.2478
Te2 Te 0.0000 0.5000 0.0000


[3]
# NaLa3Te4 | Alexandria via LeMat-Bulk | PBE | relaxed
# E_form (uncorrected) ... -1.50 eV per atom
# E above lowest polymorph ... 4 meV per atom
data_NaLa3Te4
_cell_length_a 9.1989
_cell_length_b 12.9719
_cell_length_c 4.5709
_cell_angle_alpha 90.00
_cell_angle_beta 90.00
_cell_angle_gamma 90.00
_symmetry_space_group_name_H-M 'C m m m'
_symmetry_Int_Tables_number 65
_symmetry_space_group_name_Hall '-C 2 2'
loop_
_atom_site_label
_atom_site_type_symbol
_atom_site_fract_x
_atom_site_fract_y
_atom_site_fract_z
Na1 Na 0.0000 0.0000 0.0000
La1 La 0.0000 0.5000 0.0000
La2 La 0.2500 0.2500 0.5000
Te1 Te 0.0000 0.2477 0.0000
Te2 Te 0.2483 0.0000 0.5000


[4]
# NaLa2Te2 | Alexandria via LeMat-Bulk | PBE | relaxed
# E_form (uncorrected) ... -1.02 eV per atom
# E above lowest polymorph ... 143 meV per atom
data_NaLa2Te2
_cell_length_a 8.9744
_cell_length_b 8.9744
_cell_length_c 4.0856
_cell_angle_alpha 90.00
_cell_angle_beta 90.00
_cell_angle_gamma 90.00
_symmetry_space_group_name_H-M 'P 4/m b m'
_symmetry_Int_Tables_number 127
_symmetry_space_group_name_Hall '-P 4 2ab'
loop_
_atom_site_label
_atom_site_type_symbol
_atom_site_fract_x
_atom_site_fract_y
_atom_site_fract_z
Na1 Na 0.0000 0.0000 0.0000
La1 La 0.1467 0.3533 0.0000
Te1 Te 0.1502 0.6502 0.5000


[5]
# NaLa2Te2 | Alexandria via LeMat-Bulk | PBE | relaxed
# E_form (uncorrected) ... -1.17 eV per atom
# E above lowest polymorph ... 0 meV per atom
data_NaLa2Te2
_cell_length_a 8.6851
_cell_length_b 8.6851
_cell_length_c 4.2392
_cell_angle_alpha 90.00
_cell_angle_beta 90.00
_cell_angle_gamma 90.00
_symmetry_space_group_name_H-M 'P 4/m b m'
_symmetry_Int_Tables_number 127
_symmetry_space_group_name_Hall '-P 4 2ab'
loop_
_atom_site_label
_atom_site_type_symbol
_atom_site_fract_x
_atom_site_fract_y
_atom_site_fract_z
Na1 Na 0.0000 0.0000 0.0000
La1 La 0.1521 0.3479 0.5000
Te1 Te 0.1475 0.6475 0.0000


[6]
# Na3LaTe | Alexandria via LeMat-Bulk | PBE | relaxed
# E_form (uncorrected) ... 0.13 eV per atom
data_Na3LaTe
_cell_length_a 5.5185
_cell_length_b 5.5185
_cell_length_c 5.5185
_cell_angle_alpha 90.00
_cell_angle_beta 90.00
_cell_angle_gamma 90.00
_symmetry_space_group_name_H-M 'P m -3 m'
_symmetry_Int_Tables_number 221
_symmetry_space_group_name_Hall '-P 4 2 3'
loop_
_atom_site_label
_atom_site_type_symbol
_atom_site_fract_x
_atom_site_fract_y
_atom_site_fract_z
Na1 Na 0.0000 0.0000 0.5000
La1 La 0.5000 0.5000 0.5000
Te1 Te 0.0000 0.0000 0.0000


[7]
# NaLaTe2 | Alexandria via LeMat-Bulk | PBE | relaxed
# E_form (uncorrected) ... -1.37 eV per atom
data_NaLaTe2
_cell_length_a 4.6009
_cell_length_b 4.6009
_cell_length_c 23.6239
_cell_angle_alpha 90.00
_cell_angle_beta 90.00
_cell_angle_gamma 120.00
_symmetry_space_group_name_H-M 'R 3 m'
_symmetry_Int_Tables_number 160
_symmetry_space_group_name_Hall 'R 3 -2"'
loop_
_atom_site_label
_atom_site_type_symbol
_atom_site_fract_x
_atom_site_fract_y
_atom_site_fract_z
Na1 Na 0.0000 0.0000 0.0000
La1 La 0.0000 0.0000 0.1708
Te1 Te 0.0000 0.0000 0.5821
Te2 Te 0.0000 0.0000 0.7590


[8]
# NaLaTe2 | Alexandria via LeMat-Bulk | PBE | relaxed
# E_form (uncorrected) ... -1.22 eV per atom
data_NaLaTe2
_cell_length_a 3.9852
_cell_length_b 3.9852
_cell_length_c 8.0897
_cell_angle_alpha 90.00
_cell_angle_beta 90.00
_cell_angle_gamma 90.00
_symmetry_space_group_name_H-M 'P 4/m m m'
_symmetry_Int_Tables_number 123
_symmetry_space_group_name_Hall '-P 4 2'
loop_
_atom_site_label
_atom_site_type_symbol
_atom_site_fract_x
_atom_site_fract_y
_atom_site_fract_z
Na1 Na 0.0000 0.0000 0.0000
La1 La 0.0000 0.0000 0.5000
Te1 Te 0.5000 0.5000 0.2668


[9]
# NaLa2Te3 | Alexandria via LeMat-Bulk | PBE | relaxed
# E_form (uncorrected) ... -1.46 eV per atom
data_NaLa2Te3
_cell_length_a 4.5707
_cell_length_b 6.4869
_cell_length_c 13.8630
_cell_angle_alpha 90.00
_cell_angle_beta 90.00
_cell_angle_gamma 90.00
_symmetry_space_group_name_H-M 'I m m m'
_symmetry_Int_Tables_number 71
_symmetry_space_group_name_Hall '-I 2 2'
loop_
_atom_site_label
_atom_site_type_symbol
_atom_site_fract_x
_atom_site_fract_y
_atom_site_fract_z
Na1 Na 0.0000 0.0000 0.0000
La1 La 0.0000 0.0000 0.3351
Te1 Te 0.0000 0.5000 0.0000
Te2 Te 0.0000 0.5000 0.3329


[10]
# NaLa2Te2 | Alexandria via LeMat-Bulk | PBE | relaxed
# E_form (uncorrected) ... -0.86 eV per atom
# E above lowest polymorph ... 302 meV per atom
data_NaLa2Te2
_cell_length_a 5.7428
_cell_length_b 5.7428
_cell_length_c 13.1436
_cell_angle_alpha 90.00
_cell_angle_beta 90.00
_cell_angle_gamma 90.00
_symmetry_space_group_name_H-M 'I 4/m m m'
_symmetry_Int_Tables_number 139
_symmetry_space_group_name_Hall '-I 4 2'
loop_
_atom_site_label
_atom_site_type_symbol
_atom_site_fract_x
_atom_site_fract_y
_atom_site_fract_z
Na1 Na 0.0000 0.0000 0.0000
La1 La 0.0000 0.5000 0.2500
Te1 Te 0.0000 0.0000 0.3512


[11]
# NaLaTe2 | Alexandria via LeMat-Bulk | PBE | relaxed
# E_form (uncorrected) ... -1.15 eV per atom
data_NaLaTe2
_cell_length_a 7.2412
_cell_length_b 7.2412
_cell_length_c 14.3518
_cell_angle_alpha 90.00
_cell_angle_beta 90.00
_cell_angle_gamma 90.00
_symmetry_space_group_name_H-M 'I -4 2 d'
_symmetry_Int_Tables_number 122
_symmetry_space_group_name_Hall 'I -4 2bw'
loop_
_atom_site_label
_atom_site_type_symbol
_atom_site_fract_x
_atom_site_fract_y
_atom_site_fract_z
Na1 Na 0.0000 0.0000 0.0000
La1 La 0.0000 0.0000 0.5000
Te1 Te 0.2429 0.2500 0.6250


[12]
# NaLa5Te8 | Alexandria via LeMat-Bulk | PBE | relaxed
# E_form (uncorrected) ... -1.56 eV per atom
data_NaLa5Te8
_cell_length_a 9.6804
_cell_length_b 9.6804
_cell_length_c 9.7466
_cell_angle_alpha 90.00
_cell_angle_beta 90.00
_cell_angle_gamma 90.00
_symmetry_space_group_name_H-M 'I -4'
_symmetry_Int_Tables_number 82
loop_
_symmetry_equiv_pos_as_xyz
'x,y,z'
'y,-x,-z'
'-x,-y,z'
'-y,x,-z'
'x+1/2,y+1/2,z+1/2'
'y+1/2,-x+1/2,-z+1/2'
'-x+1/2,-y+1/2,z+1/2'
'-y+1/2,x+1/2,-z+1/2'
loop_
_atom_site_label
_atom_site_type_symbol
_atom_site_fract_x
_atom_site_fract_y
_atom_site_fract_z
Na1 Na 0.0000 0.0000 0.0000
La1 La 0.0000 0.5000 0.2500
La2 La 0.1273 0.2529 0.6290
Te1 Te 0.0756 0.3257 0.9541
Te2 Te 0.0768 0.1775 0.3086


[13]
# NaLaTe | Alexandria via LeMat-Bulk | PBE | relaxed
# E_form (uncorrected) ... -0.84 eV per atom
data_NaLaTe
_cell_length_a 4.7544
_cell_length_b 4.7544
_cell_length_c 8.6603
_cell_angle_alpha 90.00
_cell_angle_beta 90.00
_cell_angle_gamma 90.00
_symmetry_space_group_name_H-M 'P 4/n m m'
_symmetry_Int_Tables_number 129
loop_
_symmetry_equiv_pos_as_xyz
'x,y,z'
'-x,-y,-z'
'-y+1/2,x,z'
'y+1/2,-x,-z'
'-x+1/2,-y+1/2,z'
'x+1/2,y+1/2,-z'
'y,-x+1/2,z'
'-y,x+1/2,-z'
'x+1/2,-y,-z'
'-x+1/2,y,z'
'-y,-x,-z'
'y,x,z'
'-x,y+1/2,-z'
'x,-y+1/2,z'
'y+1/2,x+1/2,-z'
'-y+1/2,-x+1/2,z'
loop_
_atom_site_label
_atom_site_type_symbol
_atom_site_fract_x
_atom_site_fract_y
_atom_site_fract_z
Na1 Na 0.2500 0.2500 0.1408
La1 La 0.2500 0.7500 0.5000
Te1 Te 0.2500 0.2500 0.7739


[14]
# NaLa4Te6 | Alexandria via LeMat-Bulk | PBE | relaxed
# E_form (uncorrected) ... -1.45 eV per atom
data_NaLa4Te6
_cell_length_a 9.0023
_cell_length_b 9.0035
_cell_length_c 10.1681
_cell_angle_alpha 90.00
_cell_angle_beta 116.24
_cell_angle_gamma 90.00
_symmetry_space_group_name_H-M 'C 1 m 1'
_symmetry_Int_Tables_number 8
loop_
_symmetry_equiv_pos_as_xyz
'x,y,z'
'x,-y,z'
'x+1/2,y+1/2,z'
'x+1/2,-y+1/2,z'
loop_
_atom_site_label
_atom_site_type_symbol
_atom_site_fract_x
_atom_site_fract_y
_atom_site_fract_z
Na1 Na 0.0000 0.0000 0.0000
La1 La 0.0985 0.5000 0.7216
La2 La 0.1238 0.0000 0.7214
La3 La 0.1398 0.2626 0.2786
Te1 Te 0.2505 0.2497 0.0001
Te2 Te 0.3218 0.2605 0.6424
Te3 Te 0.4191 0.0000 0.3579
Te4 Te 0.4397 0.5000 0.3574


[15]
# NaLa5Te6 | Alexandria via LeMat-Bulk | PBE | relaxed
# E_form (uncorrected) ... -1.53 eV per atom
data_NaLa5Te6
_cell_length_a 7.9332
_cell_length_b 13.7423
_cell_length_c 7.9399
_cell_angle_alpha 90.00
_cell_angle_beta 109.51
_cell_angle_gamma 90.00
_symmetry_space_group_name_H-M 'C 1 2/m 1'
_symmetry_Int_Tables_number 12
loop_
_symmetry_equiv_pos_as_xyz
'x,y,z'
'-x,-y,-z'
'-x,y,-z'
'x,-y,z'
'x+1/2,y+1/2,z'
'-x+1/2,-y+1/2,-z'
'-x+1/2,y+1/2,-z'
'x+1/2,-y+1/2,z'
loop_
_atom_site_label
_atom_site_type_symbol
_atom_site_fract_x
_atom_site_fract_y
_atom_site_fract_z
Na1 Na 0.0000 0.0000 0.0000
La1 La 0.0000 0.1661 0.5000
La2 La 0.0000 0.3343 0.0000
La3 La 0.0000 0.5000 0.5000
Te1 Te 0.2463 0.0000 0.7537
Te2 Te 0.2471 0.1648 0.2479


[16]
# NaLa2Th3Te6 | Alexandria via LeMat-Bulk | PBE | relaxed
# E_form (uncorrected) ... -1.23 eV per atom
data_NaLa2Th3Te6
_cell_length_a 19.8502
_cell_length_b 4.4486
_cell_length_c 9.1678
_cell_angle_alpha 90.00
_cell_angle_beta 105.67
_cell_angle_gamma 90.00
_symmetry_space_group_name_H-M 'C 1 2/m 1'
_symmetry_Int_Tables_number 12
loop_
_symmetry_equiv_pos_as_xyz
'x,y,z'
'-x,-y,-z'
'-x,y,-z'
'x,-y,z'
'x+1/2,y+1/2,z'
'-x+1/2,-y+1/2,-z'
'-x+1/2,y+1/2,-z'
'x+1/2,-y+1/2,z'
loop_
_atom_site_label
_atom_site_type_symbol
_atom_site_fract_x
_atom_site_fract_y
_atom_site_fract_z
Na1 Na 0.0000 0.0000 0.0000
La1 La 0.1688 0.5000 0.3307
Th1 Th 0.0000 0.0000 0.5000
Th2 Th 0.1699 0.5000 0.8271
Te1 Te 0.0026 0.5000 0.7537
Te2 Te 0.1619 0.0000 0.0704
Te3 Te 0.1647 0.0000 0.5785


[17]
# Na4LaTh3Te8 | Alexandria via LeMat-Bulk | PBE | relaxed
# E_form (uncorrected) ... -1.17 eV per atom
data_Na4LaTh3Te8
_cell_length_a 8.8987
_cell_length_b 8.8987
_cell_length_c 23.3097
_cell_angle_alpha 90.00
_cell_angle_beta 90.00
_cell_angle_gamma 120.00
_symmetry_space_group_name_H-M 'R -3 m'
_symmetry_Int_Tables_number 166
_symmetry_space_group_name_Hall '-R 3 2"'
loop_
_atom_site_label
_atom_site_type_symbol
_atom_site_fract_x
_atom_site_fract_y
_atom_site_fract_z
Na1 Na 0.0000 0.0000 0.0000
Na2 Na 0.0000 0.5000 0.0000
La1 La 0.0000 0.0000 0.5000
Th1 Th 0.0000 0.5000 0.5000
Te1 Te 0.0000 0.0000 0.2481
Te2 Te 0.0054 0.5027 0.7515


[18]
# NaLa2ThTe4 | Alexandria via LeMat-Bulk | PBE | relaxed
# E_form (uncorrected) ... -1.34 eV per atom
data_NaLa2ThTe4
_cell_length_a 7.7860
_cell_length_b 4.5197
_cell_length_c 7.9605
_cell_angle_alpha 90.00
_cell_angle_beta 109.13
_cell_angle_gamma 90.00
_symmetry_space_group_name_H-M 'P 1 2/m 1'
_symmetry_Int_Tables_number 10
loop_
_symmetry_equiv_pos_as_xyz
'x,y,z'
'-x,-y,-z'
'-x,y,-z'
'x,-y,z'
loop_
_atom_site_label
_atom_site_type_symbol
_atom_site_fract_x
_atom_site_fract_y
_atom_site_fract_z
Na1 Na 0.0000 0.0000 0.0000
La1 La 0.5000 0.0000 0.5000
La2 La 0.5000 0.5000 0.0000
Th1 Th 0.0000 0.5000 0.5000
Te1 Te 0.2413 0.0000 0.7508
Te2 Te 0.2420 0.5000 0.2477


[19]
# Na3LaTh2Te6 | Alexandria via LeMat-Bulk | PBE | relaxed
# E_form (uncorrected) ... -1.19 eV per atom
data_Na3LaTh2Te6
_cell_length_a 7.7462
_cell_length_b 13.4160
_cell_length_c 8.1576
_cell_angle_alpha 90.00
_cell_angle_beta 108.48
_cell_angle_gamma 90.00
_symmetry_space_group_name_H-M 'C 1 2/m 1'
_symmetry_Int_Tables_number 12
loop_
_symmetry_equiv_pos_as_xyz
'x,y,z'
'-x,-y,-z'
'-x,y,-z'
'x,-y,z'
'x+1/2,y+1/2,z'
'-x+1/2,-y+1/2,-z'
'-x+1/2,y+1/2,-z'
'x+1/2,-y+1/2,z'
loop_
_atom_site_label
_atom_site_type_symbol
_atom_site_fract_x
_atom_site_fract_y
_atom_site_fract_z
Na1 Na 0.0000 0.0000 0.0000
Na2 Na 0.0000 0.3361 0.0000
La1 La 0.0000 0.5000 0.5000
Th1 Th 0.0000 0.1669 0.5000
Te1 Te 0.2408 0.0000 0.7448
Te2 Te 0.2477 0.1704 0.2550


[20]
# NaLaTh2Te4 | Alexandria via LeMat-Bulk | PBE | relaxed
# E_form (uncorrected) ... -1.19 eV per atom
data_NaLaTh2Te4
_cell_length_a 7.5913
_cell_length_b 4.3734
_cell_length_c 8.1833
_cell_angle_alpha 90.00
_cell_angle_beta 107.71
_cell_angle_gamma 90.00
_symmetry_space_group_name_H-M 'P 1 2/m 1'
_symmetry_Int_Tables_number 10
loop_
_symmetry_equiv_pos_as_xyz
'x,y,z'
'-x,-y,-z'
'-x,y,-z'
'x,-y,z'
loop_
_atom_site_label
_atom_site_type_symbol
_atom_site_fract_x
_atom_site_fract_y
_atom_site_fract_z
Na1 Na 0.0000 0.0000 0.0000
La1 La 0.5000 0.5000 0.0000
Th1 Th 0.0000 0.5000 0.5000
Th2 Th 0.5000 0.0000 0.5000
Te1 Te 0.2430 0.0000 0.7508
Te2 Te 0.2449 0.5000 0.2490


[21]
# NaLa2ThTe5 | Alexandria via LeMat-Bulk | PBE | relaxed
# E_form (uncorrected) ... -1.28 eV per atom
data_NaLa2ThTe5
_cell_length_a 4.4992
_cell_length_b 18.9418
_cell_length_c 14.1103
_cell_angle_alpha 90.00
_cell_angle_beta 90.00
_cell_angle_gamma 90.00
_symmetry_space_group_name_H-M 'C m c 21'
_symmetry_Int_Tables_number 36
loop_
_symmetry_equiv_pos_as_xyz
'x,y,z'
'-x,-y,z+1/2'
'-x,y,z'
'x,-y,z+1/2'
'x+1/2,y+1/2,z'
'-x+1/2,-y+1/2,z+1/2'
'-x+1/2,y+1/2,z'
'x+1/2,-y+1/2,z+1/2'
loop_
_atom_site_label
_atom_site_type_symbol
_atom_site_fract_x
_atom_site_fract_y
_atom_site_fract_z
Na1 Na 0.0000 0.0329 0.0000
La1 La 0.0000 0.3663 0.8351
La2 La 0.0000 0.3954 0.2271
Th1 Th 0.0000 0.2973 0.5489
Te1 Te 0.0000 0.0081 0.3069
Te2 Te 0.0000 0.1327 0.5395
Te3 Te 0.0000 0.1865 0.8881
Te4 Te 0.0000 0.2205 0.2077
Te5 Te 0.0000 0.4458 0.6221


[22]
# Na4La3ThTe8 | Alexandria via LeMat-Bulk | PBE | relaxed
# E_form (uncorrected) ... -1.32 eV per atom
data_Na4La3ThTe8
_cell_length_a 9.1708
_cell_length_b 9.1708
_cell_length_c 22.6912
_cell_angle_alpha 90.00
_cell_angle_beta 90.00
_cell_angle_gamma 120.00
_symmetry_space_group_name_H-M 'R -3 m'
_symmetry_Int_Tables_number 166
_symmetry_space_group_name_Hall '-R 3 2"'
loop_
_atom_site_label
_atom_site_type_symbol
_atom_site_fract_x
_atom_site_fract_y
_atom_site_fract_z
Na1 Na 0.0000 0.0000 0.0000
Na2 Na 0.0000 0.5000 0.0000
La1 La 0.0000 0.5000 0.5000
Th1 Th 0.0000 0.0000 0.5000
Te1 Te 0.0000 0.0000 0.2483
Te2 Te 0.0074 0.5037 0.2476


[23]
# Na3La3TiTe8 | Alexandria via LeMat-Bulk | PBE | relaxed
# E_form (uncorrected) ... -1.20 eV per atom
data_Na3La3TiTe8
_cell_length_a 9.0397
_cell_length_b 9.0397
_cell_length_c 22.8258
_cell_angle_alpha 90.00
_cell_angle_beta 90.00
_cell_angle_gamma 120.00
_symmetry_space_group_name_H-M 'R -3 m'
_symmetry_Int_Tables_number 166
_symmetry_space_group_name_Hall '-R 3 2"'
loop_
_atom_site_label
_atom_site_type_symbol
_atom_site_fract_x
_atom_site_fract_y
_atom_site_fract_z
Na1 Na 0.0000 0.5000 0.0000
La1 La 0.0000 0.5000 0.5000
Ti1 Ti 0.0000 0.0000 0.5000
Te1 Te 0.0000 0.0000 0.2486
Te2 Te 0.0360 0.5180 0.2399